--- 1 ---
The following is a PBE calculation of a geometry-optimized HfTlCoAu structure, from OQMD.

Values from the calculation:
M_tot ... 1.0 μB/cell
Volume ... 18.1 A^3/atom
Symmetry ... No. 216

Cell lengths 4.6792, 4.6792, 4.6792 Å; angles 60.00, 60.00, 60.00 degrees
Each line ends with the local moment (μB).
Atoms (fractional coordinates):
1 Hf 0.5000 0.5000 0.5000  -0.07
2 Co 0.7500 0.7500 0.7500  1.06
3 Au 0.2500 0.2500 0.2500  0.04
4 Tl 0.0000 0.0000 0.0000  0.02

--- 2 ---
The following is a PBE calculation of a geometry-optimized HfTlCoAu structure, from OQMD.

Values from the calculation:
M_tot ... 0.5 μB/cell
Volume ... 17.9 A^3/atom
Symmetry ... No. 216

Cell lengths 4.6622, 4.6622, 4.6622 Å; angles 60.00, 60.00, 60.00 degrees
Each line ends with the local moment (μB).
Atoms (fractional coordinates):
1 Au 0.5000 0.5000 0.5000  -0.01
2 Co 0.7500 0.7500 0.7500  0.64
3 Tl 0.0000 0.0000 0.0000  -0.02
4 Hf 0.2500 0.2500 0.2500  -0.07

Most stable of them? 1.

--- 1 ---
The following is a PBE calculation of a geometry-optimized HfZnCoAu structure, from OQMD.

Values from the calculation:
M_tot ... 0.0 μB/cell
Volume ... 16.1 A^3/atom
Symmetry ... No. 216

Cell lengths 4.4991, 4.4991, 4.4991 Å; angles 60.00, 60.00, 60.00 degrees
Atoms (fractional coordinates):
1 Au 0.5000 0.5000 0.5000
2 Co 0.7500 0.7500 0.7500
3 Zn 0.0000 0.0000 0.0000
4 Hf 0.2500 0.2500 0.2500

--- 2 ---
The following is a PBE calculation of a geometry-optimized HfZnCoAu structure, from OQMD.

Values from the calculation:
M_tot ... 0.9 μB/cell
Volume ... 15.9 A^3/atom
Symmetry ... No. 216

Cell lengths 4.4822, 4.4822, 4.4822 Å; angles 60.00, 60.00, 60.00 degrees
Each line ends with the local moment (μB).
Atoms (fractional coordinates):
1 Co 0.7500 0.7500 0.7500  0.90
2 Hf 0.5000 0.5000 0.5000  -0.06
3 Zn 0.0000 0.0000 0.0000  0.00
4 Au 0.2500 0.2500 0.2500  0.04

Most stable of them? 2.

--- 1 ---
The following is a PBE calculation of a geometry-optimized CoHgMoAu structure, from OQMD.

Values from the calculation:
M_tot ... 0.0 μB/cell
Volume ... 16.4 A^3/atom
Symmetry ... No. 216

Cell lengths 4.5264, 4.5264, 4.5264 Å; angles 60.00, 60.00, 60.00 degrees
Atoms (fractional coordinates):
1 Co 0.5000 0.5000 0.5000
2 Hg 0.2500 0.2500 0.2500
3 Mo 0.0000 0.0000 0.0000
4 Au 0.7500 0.7500 0.7500

--- 2 ---
The following is a PBE calculation of a geometry-optimized CoHgMoAu structure, from OQMD.

Values from the calculation:
M_tot ... 0.3 μB/cell
Volume ... 16.4 A^3/atom
Symmetry ... No. 216

Cell lengths 4.5314, 4.5314, 4.5314 Å; angles 60.00, 60.00, 60.00 degrees
Atoms (fractional coordinates):
1 Co 0.2500 0.2500 0.2500
2 Mo 0.0000 0.0000 0.0000
3 Hg 0.5000 0.5000 0.5000
4 Au 0.7500 0.7500 0.7500

Most stable of them? 2.

--- 1 ---
The following is a PBE calculation of a geometry-optimized CoHgWAu structure, from OQMD.

Values from the calculation:
M_tot ... 0.5 μB/cell
Volume ... 16.2 A^3/atom
Symmetry ... No. 216

Cell lengths 4.5104, 4.5104, 4.5104 Å; angles 60.00, 60.00, 60.00 degrees
Atoms (fractional coordinates):
1 Hg 0.2500 0.2500 0.2500
2 Au 0.7500 0.7500 0.7500
3 Co 0.5000 0.5000 0.5000
4 W 0.0000 0.0000 0.0000

--- 2 ---
The following is a PBE calculation of a geometry-optimized CoHgWAu structure, from OQMD.

Values from the calculation:
M_tot ... 0.1 μB/cell
Volume ... 16.3 A^3/atom
Symmetry ... No. 216

Cell lengths 4.5164, 4.5164, 4.5164 Å; angles 60.00, 60.00, 60.00 degrees
Atoms (fractional coordinates):
1 W 0.0000 0.0000 0.0000
2 Co 0.2500 0.2500 0.2500
3 Hg 0.5000 0.5000 0.5000
4 Au 0.7500 0.7500 0.7500

Most stable of them? 2.